Here is K3Sn8Au3 after structural relaxation from Alexandria via LeMat-Bulk. Energies are from GGA-PBE.

Results
Space-group type ... No. 71
Energy above the most stable polymorph in this dataset ... 26.2 meV per atom
Raw total energy ... -3.3984 eV per atom
DFT formation energy ... -0.17 eV/atom

Lattice parameters (Å, degrees): 4.8709 9.5625 9.5625 75.54 75.24 75.24
Last column: nearest neighbours and their distance in Å.
Fractional positions:
Sn: 0.3839 0.3262 0.9060  3 Au 2.97-3.01, 4 Sn 3.13-3.32
Sn: 0.1747 0.1945 0.4561  1 Au 2.80, 1 Sn 3.06
Sn: 0.3839 0.9060 0.3262  3 Au 2.97-3.01, 4 Sn 3.13-3.32
Sn: 0.6161 0.6738 0.0940  3 Au 2.97-3.01, 4 Sn 3.13-3.32
Sn: 0.1747 0.4561 0.1945  1 Au 2.80, 1 Sn 3.06
Sn: 0.8253 0.8055 0.5439  1 Au 2.80, 1 Sn 3.06
Sn: 0.8253 0.5439 0.8055  1 Au 2.80, 1 Sn 3.06
Sn: 0.6161 0.0940 0.6738  3 Au 2.97-3.01, 4 Sn 3.13-3.32
Au: 0.5000 0.0000 0.0000  4 Sn 2.97
Au: 0.0000 0.7379 0.2621  6 Sn 2.80-3.01
Au: 0.0000 0.2621 0.7379  6 Sn 2.80-3.01
K: 0.1657 0.8343 0.8343  2 Au 3.40, 8 Sn 3.53-3.67
K: 0.8343 0.1657 0.1657  2 Au 3.40, 8 Sn 3.53-3.67
K: 0.5000 0.5000 0.5000  4 Au 3.70, 12 Sn 3.78-3.81